Here is a relaxed structure of Er8HgPb5 from Alexandria via LeMat-Bulk. Energies are from PBE-GGA.

Lattice parameters (Å, degrees): 8.0479 8.0479 8.0479 109.65 109.65 109.11
With the nearest neighbours (Å) after each atom.
Fractional positions:
Er: 0.0169 0.6307 0.7513  1 Hg 3.05, 5 Pb 3.09-3.38
Er: 0.2293 0.4810 0.1056  5 Pb 3.09-3.33, 1 Hg 3.34
Er: 0.3693 0.1206 0.3862  1 Hg 3.05, 5 Pb 3.09-3.38
Er: 0.3754 0.1238 0.8944  5 Pb 3.09-3.33, 1 Hg 3.34
Er: 0.5190 0.6246 0.7483  5 Pb 3.09-3.33, 1 Hg 3.34
Er: 0.7344 0.9831 0.6138  1 Hg 3.05, 5 Pb 3.09-3.38
Er: 0.8762 0.7707 0.2517  5 Pb 3.09-3.33, 1 Hg 3.34
Er: 0.8794 0.2656 0.2487  1 Hg 3.05, 5 Pb 3.09-3.38
Hg: 0.0000 0.0000 0.0000  8 Er 3.05-3.34
Pb: 0.1254 0.2507 0.6264  8 Er 3.09-3.38
Pb: 0.2500 0.7500 0.5000  8 Er 3.09-3.35
Pb: 0.5010 0.8746 0.1254  8 Er 3.09-3.38
Pb: 0.6243 0.4990 0.3736  8 Er 3.09-3.38
Pb: 0.7493 0.3757 0.8746  8 Er 3.09-3.38

Values from the calculation:
**Formation energy from the elements**: -0.46 eV/atom
**Calculated total energy**: -61.729 eV per cell
**D(E_F)**: 9.408 states/eV/cell
**Total magnetization**: 0.00 μB/f.u.